(1)
Li6AlTl5: relaxed, PBE.

Cell and atoms, written as POSCAR:
```
Li6AlTl5
1.0
7.417 -3.657 0.000
7.417 3.657 0.000
-1.437 0.000 4.468
Li Al Tl
6 1 5
Direct
0.086 0.583 0.335 Li
0.246 0.754 0.000 Li
0.417 0.914 0.665 Li
0.583 0.086 0.335 Li
0.754 0.246 0.000 Li
0.914 0.417 0.665 Li
0.500 0.500 0.500 Al
0.000 0.000 0.500 Tl
0.169 0.169 0.168 Tl
0.346 0.346 0.845 Tl
0.654 0.654 0.155 Tl
0.831 0.831 0.832 Tl
```

Properties
Formation enthalpy at 0 K in eV/atom: -0.185
Crystal system: monoclinic
Calculated total energy in eV per atom: -2.439
Total magnetic moment in μB/cell: 0.0
Density of states at the Fermi level in states/eV/f.u.: 4.261
Space group: No. 12



(2)
LiAlTl2: relaxed, PBE.

Cell and atoms, written as POSCAR:
```
LiAlTl2
1.0
-2.298 2.298 9.538
2.298 -2.298 9.538
2.298 2.298 -9.538
Li Al Tl
2 2 4
Direct
0.000 0.000 0.000 Li
0.750 0.250 0.500 Li
0.250 0.750 0.500 Al
0.500 0.500 0.000 Al
0.116 0.625 0.991 Tl
0.375 0.366 0.491 Tl
0.634 0.125 0.009 Tl
0.875 0.884 0.509 Tl
```

Properties
Formation enthalpy at 0 K in eV/atom: 0.178
Crystal system: tetragonal
Calculated total energy in eV per atom: -2.419
Total magnetic moment in μB/cell: 0.0
Density of states at the Fermi level in states/eV/f.u.: 2.302
Space group: No. 122



(3)
LiAlTl: relaxed, PBE.

Cell and atoms, written as POSCAR:
```
LiAlTl
1.0
-1.599 2.157 4.503
1.599 -2.157 4.503
1.599 2.157 -4.503
Li Al Tl
1 1 1
Direct
0.000 0.000 0.000 Li
0.339 0.339 0.000 Al
0.670 0.670 0.000 Tl
```

Properties
Formation enthalpy at 0 K in eV/atom: 0.032
Crystal system: orthorhombic
Calculated total energy in eV per atom: -2.642
Total magnetic moment in μB/cell: 0.0
Density of states at the Fermi level in states/eV/f.u.: 1.051
Space group: No. 44



(4)
LiAl2Tl: relaxed, PBE.

Cell and atoms, written as POSCAR:
```
LiAl2Tl
1.0
3.239 0.000 0.000
0.000 4.476 0.000
0.000 0.000 5.631
Li Al Tl
1 2 1
Direct
0.000 0.000 0.000 Li
0.500 0.500 0.241 Al
0.500 0.500 0.759 Al
0.000 0.000 0.500 Tl
```

Properties
Formation enthalpy at 0 K in eV/atom: 0.110
Crystal system: orthorhombic
Calculated total energy in eV per atom: -2.831
Total magnetic moment in μB/cell: 0.0
Density of states at the Fermi level in states/eV/f.u.: 1.414
Space group: No. 47



Among the records above, which one has the lowest density of states at the Fermi level? LiAlTl



What is the formula in the fourth record? LiAl2Tl



What did the first record say?
Li6AlTl5: relaxed, PBE.

Cell and atoms, written as POSCAR:
```
Li6AlTl5
1.0
7.417 -3.657 0.000
7.417 3.657 0.000
-1.437 0.000 4.468
Li Al Tl
6 1 5
Direct
0.086 0.583 0.335 Li
0.246 0.754 0.000 Li
0.417 0.914 0.665 Li
0.583 0.086 0.335 Li
0.754 0.246 0.000 Li
0.914 0.417 0.665 Li
0.500 0.500 0.500 Al
0.000 0.000 0.500 Tl
0.169 0.169 0.168 Tl
0.346 0.346 0.845 Tl
0.654 0.654 0.155 Tl
0.831 0.831 0.832 Tl
```

Properties
Formation enthalpy at 0 K in eV/atom: -0.185
Crystal system: monoclinic
Calculated total energy in eV per atom: -2.439
Total magnetic moment in μB/cell: 0.0
Density of states at the Fermi level in states/eV/f.u.: 4.261
Space group: No. 12



The highest formation enthalpy at 0 K belongs to which entry? LiAlTl2